Below is Li3HPdO4 after structural relaxation, with properties calculated at the GGA-PBE level.

Uncorrected energy ... -43.815 eV per formula unit

abc: 5.5264 6.4826 5.9333
angles: 90.00 116.31 90.00
Atoms (fractional coordinates):
Li 0.9445 0.7500 0.1805
Li 0.4031 0.5144 0.1706
Li 0.5969 0.4856 0.8294
Li 0.5969 0.0144 0.8294
Li 0.4031 0.9856 0.1706
Li 0.0555 0.2500 0.8195
O 0.2289 0.9940 0.7857
O 0.2289 0.5060 0.7857
O 0.2573 0.2500 0.2083
O 0.3170 0.7500 0.3003
O 0.6830 0.2500 0.6997
O 0.7711 0.0060 0.2142
O 0.7711 0.4940 0.2142
O 0.7427 0.7500 0.7917
H 0.4507 0.7500 0.4774
H 0.5493 0.2500 0.5226
Pd 0.0362 0.7500 0.7164
Pd 0.9638 0.2500 0.2836

=====

Below is Li3ReHO4 after structural relaxation, with properties calculated at the GGA-PBE level.

Uncorrected energy ... -54.849 eV per formula unit
Total magnetization ... 0.111 μB per atom

abc: 5.5321 6.2741 6.3670
angles: 90.00 111.32 90.00
Each line ends with the local moment (μB).
Atoms (fractional coordinates):
O 0.7602 0.0135 0.6784  0.09
O 0.7602 0.4865 0.6784  0.09
O 0.2398 0.5135 0.3216  0.09
O 0.3148 0.7500 0.8169  0.00
O 0.2895 0.2500 0.7502  -0.03
O 0.2398 0.9865 0.3216  0.09
O 0.7105 0.7500 0.2498  -0.03
O 0.6852 0.2500 0.1831  0.00
Li 0.0340 0.2500 0.2020  0.00
Li 0.4105 0.9783 0.6734  0.00
Li 0.9660 0.7500 0.7980  0.00
Li 0.5895 0.4783 0.3266  0.00
Li 0.4105 0.5217 0.6734  0.00
Li 0.5895 0.0217 0.3266  0.00
Re 0.9623 0.2500 0.7274  0.73
Re 0.0377 0.7500 0.2726  0.73
H 0.4389 0.7500 0.9720  0.00
H 0.5611 0.2500 0.0280  0.00

=====

Which of these has the highest uncorrected energy?
Li3HPdO4